4
Lattice="0.0000 3.0247 3.0247 3.0247 0.0000 3.0247 3.0247 3.0247 0.0000" Properties=species:S:1:pos:R:3 comment="GaCu2Mo, optimized geometry, DFT PBE-GGA" e_form_mev_per_atom=267 e_above_lowest_polymorph_kj_per_mol_atoms=0.00 energy_ev_per_atom=-5.246 pbc="T T T"
Ga 0.0000 0.0000 0.0000
Cu 1.5124 1.5124 1.5124
Cu 4.5371 4.5371 4.5371
Mo 3.0247 3.0247 3.0247

---

3
Lattice="-1.3443 1.3443 5.9393 1.3443 -1.3443 5.9393 1.3443 1.3443 -5.9393" Properties=species:S:1:pos:R:3 comment="GaCuMo, optimized geometry, DFT PBE-GGA" e_form_mev_per_atom=62 e_above_lowest_polymorph_kj_per_mol_atoms=0.00 energy_ev_per_atom=-5.923 pbc="T T T"
Ga 0.0000 0.0000 0.0000
Cu 0.0000 0.0000 7.8067
Mo 0.0000 0.0000 3.8639

---

3
Lattice="4.2170 0.0000 0.0000 -2.1085 3.6520 0.0000 0.0000 0.0000 2.7831" Properties=species:S:1:pos:R:3 comment="GaCuMo, optimized geometry, DFT PBE-GGA" e_form_mev_per_atom=83 e_above_lowest_polymorph_kj_per_mol_atoms=2.04 energy_ev_per_atom=-5.902 pbc="T T T"
Ga 0.0000 0.0000 0.0000
Cu 2.1085 1.2173 0.0000
Mo 0.0000 2.4347 1.3915